Record 1
VASP calculation (PBE) on a relaxed structure of MnTlIr2.

Cell lengths 4.659, 4.659, 3.054 Å; angles 90.00, 90.00, 100.73 degrees
Fractional coordinates of all 4 atoms:
Ir 0.000 0.000 0.000
Ir 0.500 0.500 0.000
Mn 0.500 0.000 0.500
Tl 0.000 0.500 0.500

formation enthalpy at 0 K	331	meV/atom
polymorph energy (0 for the lowest one)	132	meV per atom

Record 2
VASP calculation (PBE) on a relaxed structure of Mn2Tl2Ir.

Cell lengths 8.848, 8.848, 8.848 Å; angles 159.21, 159.21, 29.57 degrees
Fractional coordinates of all 5 atoms:
Mn 0.250 0.750 0.500
Mn 0.750 0.250 0.500
Tl 0.607 0.607 0.000
Tl 0.393 0.393 0.000
Ir 0.000 0.000 0.000

formation enthalpy at 0 K	761	meV/atom

Record 3
VASP calculation (PBE) on a relaxed structure of MnTlIr2.

Cell lengths 7.249, 7.249, 5.786 Å; angles 51.22, 51.22, 90.00 degrees
Fractional coordinates of all 8 atoms:
Tl 0.000 0.000 0.000
Tl 0.750 0.250 0.500
Ir 0.580 0.125 0.250
Ir 0.170 0.625 0.250
Ir 0.375 0.420 0.750
Ir 0.875 0.830 0.750
Mn 0.500 0.500 0.000
Mn 0.250 0.750 0.500

formation enthalpy at 0 K	618	meV/atom
polymorph energy (0 for the lowest one)	420	meV per atom

Number 1: spin magnetization 3.72 μB/f.u.. Number 2: spin magnetization 1.82 μB/f.u.. Number 3: spin magnetization 3.09 μB/f.u..